(1)
# FeHg2Au GGA-PBE relaxed
data_FeHg2Au
_cell_length_a 2.998
_cell_length_b 5.251
_cell_length_c 9.770
_cell_angle_alpha 90.00
_cell_angle_beta 90.00
_cell_angle_gamma 90.00
_symmetry_space_group_name_H-M 'I m m m'
_symmetry_Int_Tables_number 71
_symmetry_space_group_name_Hall '-I 2 2'
loop_
_atom_site_label
_atom_site_fract_x
_atom_site_fract_y
_atom_site_fract_z
Fe1 0.000 0.000 0.000
Hg1 0.000 0.500 0.264
Au1 0.000 0.000 0.500
# Polymorph energy (0 for the lowest one) (meV per atom): 116
# Energy relative to the elements (eV/f.u.): 1.407

(2)
# FeHg2Au GGA-PBE relaxed
data_FeHg2Au
_cell_length_a 9.211
_cell_length_b 2.988
_cell_length_c 5.664
_cell_angle_alpha 90.00
_cell_angle_beta 99.09
_cell_angle_gamma 90.00
_symmetry_space_group_name_H-M 'C 1 m 1'
_symmetry_Int_Tables_number 8
loop_
_symmetry_equiv_pos_as_xyz
'x,y,z'
'x,-y,z'
'x+1/2,y+1/2,z'
'x+1/2,-y+1/2,z'
loop_
_atom_site_label
_atom_site_fract_x
_atom_site_fract_y
_atom_site_fract_z
Fe1 0.000 0.000 0.000
Hg1 0.259 0.000 0.755
Hg2 0.496 0.000 0.465
Au1 0.237 0.500 0.200
# Polymorph energy (0 for the lowest one) (meV per atom): 98
# Energy relative to the elements (eV/f.u.): 1.335

(3)
# FeHg2Au GGA-PBE relaxed
data_FeHg2Au
_cell_length_a 2.918
_cell_length_b 4.715
_cell_length_c 11.803
_cell_angle_alpha 90.00
_cell_angle_beta 90.00
_cell_angle_gamma 90.00
_symmetry_space_group_name_H-M 'I m m 2'
_symmetry_Int_Tables_number 44
loop_
_symmetry_equiv_pos_as_xyz
'x,y,z'
'-x,-y,z'
'-x,y,z'
'x,-y,z'
'x+1/2,y+1/2,z+1/2'
'-x+1/2,-y+1/2,z+1/2'
'-x+1/2,y+1/2,z+1/2'
'x+1/2,-y+1/2,z+1/2'
loop_
_atom_site_label
_atom_site_fract_x
_atom_site_fract_y
_atom_site_fract_z
Fe1 0.000 0.000 0.000
Hg1 0.000 0.000 0.499
Hg2 0.000 0.500 0.704
Au1 0.000 0.500 0.310
# Polymorph energy (0 for the lowest one) (meV per atom): 37
# Energy relative to the elements (eV/f.u.): 1.089